# 1
Material: DyBi3Pb
Method: DFT, PBE
State: optimized geometry Values from VASP.

Geometry as Quantum ESPRESSO input:
```
&SYSTEM
  ibrav = 0, nat = 20, ntyp = 3
/
ATOMIC_SPECIES
Dy 162.50 Dy.upf
Bi 208.98 Bi.upf
Pb 207.20 Pb.upf
ATOMIC_POSITIONS crystal
Dy 0.119 0.000 0.250
Dy 0.119 0.500 0.750
Dy 0.881 0.000 0.750
Dy 0.881 0.500 0.250
Bi 0.038 0.250 0.000
Bi 0.038 0.250 0.500
Bi 0.215 0.507 0.250
Bi 0.215 0.993 0.750
Bi 0.429 0.101 0.250
Bi 0.429 0.399 0.750
Bi 0.571 0.601 0.250
Bi 0.571 0.899 0.750
Bi 0.785 0.007 0.250
Bi 0.785 0.493 0.750
Bi 0.962 0.750 0.000
Bi 0.962 0.750 0.500
Pb 0.365 0.750 0.000
Pb 0.365 0.750 0.500
Pb 0.635 0.250 0.000
Pb 0.635 0.250 0.500
CELL_PARAMETERS angstrom
10.268 0.000 0.000
0.000 6.156 0.000
0.000 0.000 10.456
```

## Properties
calculated volume: 165.2 Å³/f.u.
DOS at the Fermi energy: 2.35 states/eV/f.u.
ΔE_f: -217 meV per atom
symmetry: Pbcm
energy: -4.208 eV per atom

---

# 2
Material: Dy4BiPb2
Method: DFT, PBE
State: optimized geometry Values from VASP.

Geometry as Quantum ESPRESSO input:
```
&SYSTEM
  ibrav = 0, nat = 14, ntyp = 3
/
ATOMIC_SPECIES
Dy 162.50 Dy.upf
Bi 208.98 Bi.upf
Pb 207.20 Pb.upf
ATOMIC_POSITIONS crystal
Dy 0.033 0.250 0.168
Dy 0.136 0.750 0.451
Dy 0.427 0.005 0.731
Dy 0.427 0.495 0.731
Dy 0.573 0.505 0.269
Dy 0.573 0.995 0.269
Dy 0.864 0.250 0.549
Dy 0.967 0.750 0.832
Bi 0.046 0.750 0.153
Bi 0.954 0.250 0.847
Pb 0.314 0.250 0.458
Pb 0.494 0.250 0.007
Pb 0.506 0.750 0.993
Pb 0.686 0.750 0.542
CELL_PARAMETERS angstrom
6.229 0.000 0.000
0.000 6.618 0.000
-1.571 0.000 10.241
```

## Properties
calculated volume: 211.1 Å³/f.u.
DOS at the Fermi energy: 2.98 states/eV/f.u.
ΔE_f: -457 meV per atom
symmetry: P2_1/m
energy: -4.701 eV per atom

---

# 3
Material: Dy2BiPb
Method: DFT, PBE
State: optimized geometry Values from VASP.

Geometry as Quantum ESPRESSO input:
```
&SYSTEM
  ibrav = 0, nat = 8, ntyp = 3
/
ATOMIC_SPECIES
Dy 162.50 Dy.upf
Bi 208.98 Bi.upf
Pb 207.20 Pb.upf
ATOMIC_POSITIONS crystal
Dy 0.061 0.939 0.750
Dy 0.316 0.684 0.750
Dy 0.684 0.316 0.250
Dy 0.939 0.061 0.250
Bi 0.188 0.812 0.750
Bi 0.812 0.188 0.250
Pb 0.450 0.550 0.750
Pb 0.550 0.450 0.250
CELL_PARAMETERS angstrom
2.264 -12.149 0.000
2.264 12.149 0.000
0.000 0.000 4.434
```

## Properties
calculated volume: 122.0 Å³/f.u.
DOS at the Fermi energy: 1.48 states/eV/f.u.
ΔE_f: -664 meV per atom
symmetry: Cmcm
energy: -4.862 eV per atom

---

# 4
Material: Dy2BiPb
Method: DFT, PBE
State: optimized geometry Values from VASP.

Geometry as Quantum ESPRESSO input:
```
&SYSTEM
  ibrav = 0, nat = 4, ntyp = 3
/
ATOMIC_SPECIES
Dy 162.50 Dy.upf
Bi 208.98 Bi.upf
Pb 207.20 Pb.upf
ATOMIC_POSITIONS crystal
Dy 0.248 0.248 0.244
Dy 0.752 0.752 0.756
Bi 0.500 0.500 0.000
Pb 0.000 0.000 0.500
CELL_PARAMETERS angstrom
3.734 -2.158 0.000
3.734 2.158 0.000
-2.497 0.000 7.782
```

## Properties
calculated volume: 125.4 Å³/f.u.
DOS at the Fermi energy: 1.00 states/eV/f.u.
ΔE_f: -604 meV per atom
symmetry: C2/m
energy: -4.803 eV per atom

---

# 5
Material: Dy5Bi2Pb
Method: DFT, PBE
State: optimized geometry Values from VASP.

Geometry as Quantum ESPRESSO input:
```
&SYSTEM
  ibrav = 0, nat = 16, ntyp = 3
/
ATOMIC_SPECIES
Dy 162.50 Dy.upf
Bi 208.98 Bi.upf
Pb 207.20 Pb.upf
ATOMIC_POSITIONS crystal
Dy 0.075 0.925 0.602
Dy 0.075 0.925 0.898
Dy 0.379 0.621 0.549
Dy 0.379 0.621 0.951
Dy 0.415 0.585 0.250
Dy 0.585 0.415 0.750
Dy 0.621 0.379 0.049
Dy 0.621 0.379 0.451
Dy 0.925 0.075 0.102
Dy 0.925 0.075 0.398
Bi 0.198 0.802 0.112
Bi 0.198 0.802 0.388
Bi 0.802 0.198 0.612
Bi 0.802 0.198 0.888
Pb 0.280 0.720 0.750
Pb 0.720 0.280 0.250
CELL_PARAMETERS angstrom
2.993 -5.873 0.000
2.993 5.873 0.000
0.000 0.000 14.407
```

## Properties
calculated volume: 253.2 Å³/f.u.
DOS at the Fermi energy: 7.98 states/eV/f.u.
ΔE_f: -289 meV per atom
symmetry: Cmcm
energy: -4.599 eV per atom

---

# 6
Material: Dy5Bi2Pb2
Method: DFT, PBE
State: optimized geometry Values from VASP.

Geometry as Quantum ESPRESSO input:
```
&SYSTEM
  ibrav = 0, nat = 18, ntyp = 3
/
ATOMIC_SPECIES
Dy 162.50 Dy.upf
Bi 208.98 Bi.upf
Pb 207.20 Pb.upf
ATOMIC_POSITIONS crystal
Dy 0.000 0.000 0.000
Dy 0.029 0.704 0.661
Dy 0.204 0.529 0.161
Dy 0.296 0.971 0.661
Dy 0.471 0.796 0.161
Dy 0.500 0.500 0.500
Dy 0.529 0.204 0.839
Dy 0.704 0.029 0.339
Dy 0.796 0.471 0.839
Dy 0.971 0.296 0.339
Bi 0.203 0.203 0.000
Bi 0.297 0.297 0.500
Bi 0.703 0.703 0.500
Bi 0.797 0.797 0.000
Pb 0.142 0.858 0.359
Pb 0.358 0.642 0.859
Pb 0.642 0.358 0.141
Pb 0.858 0.142 0.641
CELL_PARAMETERS angstrom
7.831 -4.147 0.000
7.831 4.147 0.000
0.000 0.000 8.322
```

## Properties
calculated volume: 270.2 Å³/f.u.
DOS at the Fermi energy: 7.03 states/eV/f.u.
ΔE_f: -671 meV per atom
symmetry: Cmce
energy: -4.914 eV per atom

---

# 7
Material: Dy4BiPbS2
Method: DFT, PBE
State: optimized geometry Values from VASP.

Geometry as Quantum ESPRESSO input:
```
&SYSTEM
  ibrav = 0, nat = 8, ntyp = 4
/
ATOMIC_SPECIES
Dy 162.50 Dy.upf
Bi 208.98 Bi.upf
Pb 207.20 Pb.upf
S 32.06 S.upf
ATOMIC_POSITIONS crystal
Dy 0.237 0.000 0.217
Dy 0.263 0.500 0.781
Dy 0.737 0.500 0.219
Dy 0.763 0.000 0.783
Bi 0.000 0.000 0.500
Pb 0.500 0.500 0.500
S 0.000 0.500 0.000
S 0.500 0.000 0.000
CELL_PARAMETERS angstrom
7.268 0.000 0.000
0.000 4.078 0.000
-2.349 0.000 6.998
```

## Properties
calculated volume: 207.4 Å³/f.u.
DOS at the Fermi energy: 4.03 states/eV/f.u.
symmetry: P2/m
energy: -5.538 eV per atom

---

# 8
Material: Dy4BiSb2Pb
Method: DFT, PBE
State: optimized geometry Values from VASP.

Geometry as Quantum ESPRESSO input:
```
&SYSTEM
  ibrav = 0, nat = 8, ntyp = 4
/
ATOMIC_SPECIES
Dy 162.50 Dy.upf
Bi 208.98 Bi.upf
Sb 121.76 Sb.upf
Pb 207.20 Pb.upf
ATOMIC_POSITIONS crystal
Dy 0.247 0.000 0.242
Dy 0.253 0.500 0.757
Dy 0.747 0.500 0.243
Dy 0.753 0.000 0.758
Bi 0.000 0.000 0.500
Sb 0.000 0.500 0.000
Sb 0.500 0.000 0.000
Pb 0.500 0.500 0.500
CELL_PARAMETERS angstrom
7.644 0.000 0.000
0.000 4.366 0.000
-2.498 0.000 7.331
```

## Properties
calculated volume: 244.7 Å³/f.u.
DOS at the Fermi energy: 3.52 states/eV/f.u.
symmetry: P2/m
energy: -5.139 eV per atom

---

# 9
Material: Dy4BiPbSe2
Method: DFT, PBE
State: optimized geometry Values from VASP.

Geometry as Quantum ESPRESSO input:
```
&SYSTEM
  ibrav = 0, nat = 8, ntyp = 4
/
ATOMIC_SPECIES
Dy 162.50 Dy.upf
Bi 208.98 Bi.upf
Pb 207.20 Pb.upf
Se 78.96 Se.upf
ATOMIC_POSITIONS crystal
Dy 0.236 0.000 0.241
Dy 0.238 0.500 0.750
Dy 0.762 0.500 0.250
Dy 0.764 0.000 0.759
Bi 0.500 0.500 0.500
Pb 0.500 0.000 0.000
Se 0.000 0.000 0.500
Se 0.000 0.500 0.000
CELL_PARAMETERS angstrom
7.386 0.000 0.000
0.000 4.290 0.000
-2.485 0.000 7.003
```

## Properties
calculated volume: 221.9 Å³/f.u.
DOS at the Fermi energy: 1.93 states/eV/f.u.
symmetry: P2/m
energy: -5.319 eV per atom

---

# 10
Material: Dy6Bi2PbSe3
Method: DFT, PBE
State: optimized geometry Values from VASP.

Geometry as Quantum ESPRESSO input:
```
&SYSTEM
  ibrav = 0, nat = 12, ntyp = 4
/
ATOMIC_SPECIES
Dy 162.50 Dy.upf
Bi 208.98 Bi.upf
Pb 207.20 Pb.upf
Se 78.96 Se.upf
ATOMIC_POSITIONS crystal
Dy 0.004 0.004 0.246
Dy 0.332 0.332 0.429
Dy 0.338 0.338 0.905
Dy 0.662 0.662 0.095
Dy 0.668 0.668 0.571
Dy 0.996 0.996 0.754
Bi 0.167 0.167 0.834
Bi 0.833 0.833 0.166
Pb 0.500 0.500 0.500
Se 0.168 0.168 0.334
Se 0.500 0.500 0.000
Se 0.832 0.832 0.666
CELL_PARAMETERS angstrom
9.316 -2.143 0.000
9.316 2.143 0.000
-1.915 0.000 8.335
```

## Properties
calculated volume: 332.7 Å³/f.u.
DOS at the Fermi energy: 4.54 states/eV/f.u.
symmetry: C2/m
energy: -5.352 eV per atom

---

# 11
Material: Dy6BiPb2Se3
Method: DFT, PBE
State: optimized geometry Values from VASP.

Geometry as Quantum ESPRESSO input:
```
&SYSTEM
  ibrav = 0, nat = 12, ntyp = 4
/
ATOMIC_SPECIES
Dy 162.50 Dy.upf
Bi 208.98 Bi.upf
Pb 207.20 Pb.upf
Se 78.96 Se.upf
ATOMIC_POSITIONS crystal
Dy 0.001 0.001 0.239
Dy 0.329 0.329 0.420
Dy 0.336 0.336 0.911
Dy 0.664 0.664 0.089
Dy 0.671 0.671 0.580
Dy 0.999 0.999 0.761
Bi 0.500 0.500 0.500
Pb 0.167 0.167 0.833
Pb 0.833 0.833 0.167
Se 0.165 0.165 0.333
Se 0.500 0.500 0.000
Se 0.835 0.835 0.667
CELL_PARAMETERS angstrom
9.310 -2.141 0.000
9.310 2.141 0.000
-1.895 0.000 8.346
```

## Properties
calculated volume: 332.8 Å³/f.u.
DOS at the Fermi energy: 3.21 states/eV/f.u.
symmetry: C2/m
energy: -5.279 eV per atom

---

# 12
Material: Dy4Bi2PbSe
Method: DFT, PBE
State: optimized geometry Values from VASP.

Geometry as Quantum ESPRESSO input:
```
&SYSTEM
  ibrav = 0, nat = 8, ntyp = 4
/
ATOMIC_SPECIES
Dy 162.50 Dy.upf
Bi 208.98 Bi.upf
Pb 207.20 Pb.upf
Se 78.96 Se.upf
ATOMIC_POSITIONS crystal
Dy 0.245 0.000 0.240
Dy 0.248 0.500 0.759
Dy 0.752 0.500 0.241
Dy 0.755 0.000 0.760
Bi 0.000 0.000 0.500
Bi 0.500 0.500 0.500
Pb 0.500 0.000 0.000
Se 0.000 0.500 0.000
CELL_PARAMETERS angstrom
7.587 0.000 0.000
0.000 4.369 0.000
-2.514 0.000 7.176
```

## Properties
calculated volume: 237.9 Å³/f.u.
DOS at the Fermi energy: 1.66 states/eV/f.u.
symmetry: P2/m
energy: -5.142 eV per atom

---

# 13
Material: SmDyBiPb
Method: DFT, PBE
State: optimized geometry Values from VASP.

Geometry as Quantum ESPRESSO input:
```
&SYSTEM
  ibrav = 0, nat = 4, ntyp = 4
/
ATOMIC_SPECIES
Sm 150.36 Sm.upf
Dy 162.50 Dy.upf
Bi 208.98 Bi.upf
Pb 207.20 Pb.upf
ATOMIC_POSITIONS crystal
Sm 0.000 0.000 0.000
Dy 0.504 0.504 0.504
Bi 0.250 0.250 0.250
Pb 0.753 0.753 0.753
CELL_PARAMETERS angstrom
2.182 1.260 7.820
-2.182 1.260 7.820
0.000 -2.519 7.820
```

## Properties
calculated volume: 128.9 Å³/f.u.
DOS at the Fermi energy: 1.32 states/eV/f.u.
ΔE_f: -633 meV per atom
symmetry: R3m
energy: -4.860 eV per atom

---

# 14
Material: TbDyBiPb
Method: DFT, PBE
State: optimized geometry Values from VASP.

Geometry as Quantum ESPRESSO input:
```
&SYSTEM
  ibrav = 0, nat = 4, ntyp = 4
/
ATOMIC_SPECIES
Tb 158.93 Tb.upf
Dy 162.50 Dy.upf
Bi 208.98 Bi.upf
Pb 207.20 Pb.upf
ATOMIC_POSITIONS crystal
Tb 0.000 0.000 0.000
Dy 0.500 0.500 0.500
Bi 0.000 0.000 0.500
Pb 0.500 0.500 0.000
CELL_PARAMETERS angstrom
4.464 0.000 0.000
0.000 4.489 0.000
0.000 0.000 6.315
```

## Properties
calculated volume: 126.5 Å³/f.u.
DOS at the Fermi energy: 3.00 states/eV/f.u.
ΔE_f: -597 meV per atom
symmetry: Pmmm
energy: -4.803 eV per atom

---

# 15
Material: Dy8Bi3Te4Pb
Method: DFT, PBE
State: optimized geometry Values from VASP.

Geometry as Quantum ESPRESSO input:
```
&SYSTEM
  ibrav = 0, nat = 16, ntyp = 4
/
ATOMIC_SPECIES
Dy 162.50 Dy.upf
Bi 208.98 Bi.upf
Te 127.60 Te.upf
Pb 207.20 Pb.upf
ATOMIC_POSITIONS crystal
Dy 0.249 0.249 0.249
Dy 0.253 0.746 0.746
Dy 0.254 0.254 0.747
Dy 0.254 0.747 0.254
Dy 0.746 0.253 0.746
Dy 0.746 0.746 0.253
Dy 0.747 0.254 0.254
Dy 0.751 0.751 0.751
Bi 0.000 0.000 0.500
Bi 0.000 0.500 0.000
Bi 0.500 0.000 0.000
Te 0.000 0.000 0.000
Te 0.000 0.500 0.500
Te 0.500 0.000 0.500
Te 0.500 0.500 0.000
Pb 0.500 0.500 0.500
CELL_PARAMETERS angstrom
4.431 2.558 7.186
-4.431 2.558 7.186
0.000 -5.116 7.186
```

## Properties
calculated volume: 488.7 Å³/f.u.
DOS at the Fermi energy: 6.81 states/eV/f.u.
symmetry: R-3m
energy: -5.103 eV per atom

---

# 16
Material: Dy6Bi3Te2Pb
Method: DFT, PBE
State: optimized geometry Values from VASP.

Geometry as Quantum ESPRESSO input:
```
&SYSTEM
  ibrav = 0, nat = 12, ntyp = 4
/
ATOMIC_SPECIES
Dy 162.50 Dy.upf
Bi 208.98 Bi.upf
Te 127.60 Te.upf
Pb 207.20 Pb.upf
ATOMIC_POSITIONS crystal
Dy 0.001 0.001 0.256
Dy 0.335 0.335 0.915
Dy 0.336 0.336 0.421
Dy 0.664 0.664 0.579
Dy 0.665 0.665 0.085
Dy 0.999 0.999 0.744
Bi 0.169 0.169 0.333
Bi 0.500 0.500 0.000
Bi 0.831 0.831 0.667
Te 0.167 0.167 0.835
Te 0.833 0.833 0.165
Pb 0.500 0.500 0.500
CELL_PARAMETERS angstrom
9.657 -2.221 0.000
9.657 2.221 0.000
-2.027 0.000 8.646
```

## Properties
calculated volume: 370.9 Å³/f.u.
DOS at the Fermi energy: 2.31 states/eV/f.u.
symmetry: C2/m
energy: -5.073 eV per atom

---

# 17
Material: Dy6Bi2Te3Pb
Method: DFT, PBE
State: optimized geometry Values from VASP.

Geometry as Quantum ESPRESSO input:
```
&SYSTEM
  ibrav = 0, nat = 12, ntyp = 4
/
ATOMIC_SPECIES
Dy 162.50 Dy.upf
Bi 208.98 Bi.upf
Te 127.60 Te.upf
Pb 207.20 Pb.upf
ATOMIC_POSITIONS crystal
Dy 0.000 0.000 0.242
Dy 0.000 0.000 0.758
Dy 0.333 0.333 0.418
Dy 0.337 0.337 0.918
Dy 0.663 0.663 0.082
Dy 0.667 0.667 0.582
Bi 0.167 0.167 0.334
Bi 0.833 0.833 0.666
Te 0.168 0.168 0.833
Te 0.500 0.500 0.500
Te 0.832 0.832 0.167
Pb 0.500 0.500 0.000
CELL_PARAMETERS angstrom
9.623 -2.216 0.000
9.623 2.216 0.000
-1.966 0.000 8.597
```

## Properties
calculated volume: 366.6 Å³/f.u.
DOS at the Fermi energy: 4.25 states/eV/f.u.
symmetry: C2/m
energy: -5.088 eV per atom

---

# 18
Material: DyTmBiPb
Method: DFT, PBE
State: optimized geometry Values from VASP.

Geometry as Quantum ESPRESSO input:
```
&SYSTEM
  ibrav = 0, nat = 4, ntyp = 4
/
ATOMIC_SPECIES
Dy 162.50 Dy.upf
Tm 168.93 Tm.upf
Bi 208.98 Bi.upf
Pb 207.20 Pb.upf
ATOMIC_POSITIONS crystal
Dy 0.000 0.000 0.000
Tm 0.500 0.500 0.500
Bi 0.000 0.000 0.500
Pb 0.500 0.500 0.000
CELL_PARAMETERS angstrom
4.438 0.000 0.000
0.000 4.459 0.000
-0.007 0.000 6.270
```

## Properties
calculated volume: 124.1 Å³/f.u.
DOS at the Fermi energy: 2.89 states/eV/f.u.
ΔE_f: -550 meV per atom
symmetry: P2/m
energy: -4.716 eV per atom

---

# 19
Material: DyYBiPb
Method: DFT, PBE
State: optimized geometry Values from VASP.

Geometry as Quantum ESPRESSO input:
```
&SYSTEM
  ibrav = 0, nat = 4, ntyp = 4
/
ATOMIC_SPECIES
Dy 162.50 Dy.upf
Y 88.91 Y.upf
Bi 208.98 Bi.upf
Pb 207.20 Pb.upf
ATOMIC_POSITIONS crystal
Dy 0.000 0.000 0.000
Y 0.500 0.500 0.500
Bi 0.500 0.500 0.000
Pb 0.000 0.000 0.500
CELL_PARAMETERS angstrom
4.462 0.000 0.000
0.000 4.483 0.000
0.000 0.000 6.307
```

## Properties
calculated volume: 126.2 Å³/f.u.
DOS at the Fermi energy: 3.03 states/eV/f.u.
ΔE_f: -606 meV per atom
symmetry: Pmmm
energy: -5.270 eV per atom

---

# 20
Material: Dy2BiPd
Method: DFT, PBE
State: optimized geometry Values from VASP.

Geometry as Quantum ESPRESSO input:
```
&SYSTEM
  ibrav = 0, nat = 4, ntyp = 3
/
ATOMIC_SPECIES
Dy 162.50 Dy.upf
Bi 208.98 Bi.upf
Pd 106.42 Pd.upf
ATOMIC_POSITIONS crystal
Dy 0.250 0.250 0.250
Dy 0.750 0.750 0.750
Bi 0.000 0.000 0.000
Pd 0.500 0.500 0.500
CELL_PARAMETERS angstrom
2.615 1.510 4.250
-2.615 1.510 4.250
0.000 -3.019 4.250
```

## Properties
calculated volume: 100.6 Å³/f.u.
DOS at the Fermi energy: 4.06 states/eV/f.u.
ΔE_f: -642 meV per atom
symmetry: R-3m
energy: -5.211 eV per atom